The following is a DFT calculation (GGA-PBE) of crystalline TmGaRu at its relaxed geometry.

POSCAR file:
```
TmGaRu
1.0
4.614 0.207 -2.521
-2.937 4.353 -0.337
0.050 -0.207 5.257
Tm Ga Ru
2 2 2
direct
0.250 0.112 0.862
0.750 0.888 0.138
0.500 0.500 0.500
0.000 0.500 0.000
0.000 0.500 0.500
0.500 0.000 0.500
```

Output
For the density of states at the Fermi level, the calculation gives 2.110 states/eV/f.u. For the formation energy, the calculation gives -0.5915 eV per atom. As for the crystal system: orthorhombic. The space group is Imma (74). The calculation puts the total DFT energy (no corrections) at -6.1829 eV per atom.

***

The following is a DFT calculation (GGA-PBE) of crystalline KBi3Rh at its relaxed geometry.

POSCAR file:
```
KBi3Rh
1.0
-4.417 -3.745 -0.032
3.587 -4.245 1.631
-1.078 1.224 5.557
K Rh Bi
1 1 3
direct
0.000 0.000 0.000
0.500 0.500 0.500
0.000 0.500 0.000
0.000 0.000 0.500
0.500 0.000 0.000
```

Output
For the density of states at the Fermi level, the calculation gives 7.561 states/eV/f.u. Its offset from the most stable computed form is 1947 meV/atom. For the formation energy, the calculation gives 1.6855 eV per atom. As for the crystal system: cubic. The space group is Pm-3m (221). The calculation puts the total DFT energy (no corrections) at -2.3329 eV per atom.

***

The following is a DFT calculation (GGA-PBE) of crystalline Ce6Tc2Pb at its relaxed geometry.

POSCAR file:
```
Ce6Tc2Pb
1.0
4.901 0.000 0.000
-2.451 5.260 -0.282
0.000 -0.188 8.906
Ce Tc Pb
6 2 1
direct
0.057 0.114 0.868
0.601 0.201 0.169
0.399 0.799 0.831
0.705 0.411 0.622
0.295 0.589 0.378
0.943 0.886 0.132
0.734 0.467 0.884
0.266 0.533 0.116
0.000 0.000 0.500
```

Output
For the density of states at the Fermi level, the calculation gives 18.644 states/eV/f.u. For the formation energy, the calculation gives -0.2158 eV per atom. As for the crystal system: monoclinic. The space group is C2/m (12). The calculation puts the total DFT energy (no corrections) at -6.8873 eV per atom.

***

The following is a DFT calculation (GGA-PBE) of crystalline Ca2ErMnSe4 at its relaxed geometry.

POSCAR file:
```
Ca2ErMnSe4
1.0
4.072 0.000 0.000
0.000 7.039 0.091
0.000 -2.490 6.658
Ca Er Mn Se
2 1 1 4
direct
0.500 0.000 0.500
0.000 0.500 0.500
0.500 0.500 0.000
0.000 0.000 0.000
0.500 0.237 0.230
0.500 0.763 0.770
0.000 0.250 0.761
0.000 0.750 0.239
```

Output
For the density of states at the Fermi level, the calculation gives 2.193 states/eV/f.u. The calculation puts the energy relative to the elements, uncorrected at -1520 meV per atom. As for the crystal system: monoclinic. The space group is P2/m (10). The calculation puts the total DFT energy (no corrections) at -5.4790 eV per atom.